Record 1
Density functional theory data (GGA-PBE) for crystalline MgTiNb at its relaxed geometry.

Geometry as POSCAR:
```
MgTiNb
1.0
3.3227 0.0514 0.1250
-0.0751 3.2474 0.6638
-0.4317 1.0963 11.0059
Nb Ti Mg
2 2 2
direct
0.4770 0.9682 0.5881 Nb
0.9771 0.3155 0.7403 Nb
0.4770 0.6732 0.8834 Ti
0.9769 0.6106 0.4451 Ti
0.4767 0.2968 0.2593 Mg
0.9768 0.9878 0.0689 Mg
```

Summary:
The formation enthalpy at 0 K is 0.04 eV/atom. As for the symmetry: P2_1/m, No. 11.

---

Record 2
Density functional theory data (GGA-PBE) for crystalline InPtBr2 at its relaxed geometry.

Geometry as POSCAR:
```
InPtBr2
1.0
-0.4630 -3.5124 -3.7183
-3.1687 -0.7450 4.0094
-4.9950 0.5149 -1.1362
Br Pt In
2 1 1
direct
0.5000 0.0000 0.5000 Br
0.0000 0.0000 0.0000 Br
0.5000 0.5000 0.0000 Pt
0.0000 0.5000 0.5000 In
```

Summary:
As for the symmetry: C2/m, No. 12. The calculation puts the uncorrected formation energy at 105.8 meV per atom.

---

Record 3
Density functional theory data (GGA-PBE) for crystalline PuTiP2 at its relaxed geometry.

Geometry as POSCAR:
```
PuTiP2
1.0
-2.5457 -0.8080 -2.6344
1.2029 -2.6818 2.3314
-3.1868 2.8183 4.8866
Pu Ti P
1 1 2
direct
0.0000 0.5000 0.5000 Pu
0.0000 0.0000 0.0000 Ti
0.5188 0.2594 0.7782 P
0.4812 0.7406 0.2218 P
```

Summary:
The formation enthalpy at 0 K is -1.14 eV/atom. As for the symmetry: R-3m, No. 166.

---

Record 4
Density functional theory data (GGA-PBE) for crystalline TlHgIBr2 at its relaxed geometry.

Geometry as POSCAR:
```
TlHgIBr2
1.0
-5.3983 -1.2324 -0.8672
0.8846 -5.2027 1.8874
-1.3000 1.7911 5.5466
Br Tl Hg I
2 1 1 1
direct
0.0000 0.5000 0.0000 Br
0.5000 0.0000 0.0000 Br
0.5000 0.5000 0.5000 Tl
0.0000 0.0000 0.0000 Hg
0.0000 0.0000 0.5000 I
```

Summary:
As for the symmetry: P4/mmm, No. 123. The calculation puts the uncorrected formation energy at -446.5 meV per atom.